# 1
First-principles (PBE-GGA) data for AgAs3F after structural relaxation, as listed in the Alexandria database.

ΔE to the lowest computed polymorph ... 0.00 eV per formula unit
M_tot ... 0.0 μB/cell

Lattice parameters (Å, degrees): 4.593 4.593 4.593 90.00 90.00 90.00
Space group Pm-3m (No. 221)
Symmetry-distinct sites (fractional):
Ag 0.000 0.000 0.000
As 0.000 0.500 0.500
F 0.500 0.500 0.500

***

# 2
First-principles (PBE-GGA) data for Tc3Pb after structural relaxation, as listed in the Alexandria database.

Energy of formation from the pure elements ... 0.5537 eV/atom
ΔE to the lowest computed polymorph ... 0.29 eV per formula unit
M_tot ... 0.0 μB/cell

Lattice parameters (Å, degrees): 3.012 9.266 4.772 90.00 90.00 90.00
Space group Imm2 (No. 44)
Symmetry-distinct sites (fractional):
Tc 0.000 0.000 0.000
Tc 0.000 0.269 0.632
Pb 0.000 0.500 0.017

***

# 3
First-principles (PBE-GGA) data for PrTmAlHg after structural relaxation, as listed in the Alexandria database.

Energy of formation from the pure elements ... -0.3706 eV/atom
ΔE to the lowest computed polymorph ... 0.22 eV per formula unit
M_tot ... 0.0 μB/cell

Lattice parameters (Å, degrees): 7.477 7.477 7.477 90.00 90.00 90.00
Space group F-43m (No. 216)
Symmetry-distinct sites (fractional):
Pr 0.000 0.000 0.000
Tm 0.000 0.000 0.500
Al 0.250 0.250 0.750
Hg 0.250 0.250 0.250

***

# 4
First-principles (PBE-GGA) data for NdSmHo2 after structural relaxation, as listed in the Alexandria database.

Energy of formation from the pure elements ... 0.1192 eV/atom
ΔE to the lowest computed polymorph ... 0.42 eV per formula unit
M_tot ... 0.0 μB/cell

Lattice parameters (Å, degrees): 8.082 8.082 8.082 90.00 90.00 90.00
Space group Fm-3m (No. 225)
Symmetry-distinct sites (fractional):
Nd 0.000 0.000 0.000
Sm 0.000 0.000 0.500
Ho 0.250 0.250 0.250

***

# 5
First-principles (PBE-GGA) data for Sm3Tc5N12 after structural relaxation, as listed in the Alexandria database.

M_tot ... 0.0 μB/cell

Lattice parameters (Å, degrees): 12.811 12.811 12.811 90.00 90.00 90.00
Space group Ia-3d (No. 230)
Symmetry-distinct sites (fractional):
Sm 0.000 0.250 0.125
Tc 0.000 0.000 0.000
Tc 0.000 0.250 0.375
N 0.034 0.048 0.649

***

# 6
First-principles (PBE-GGA) data for La3Pm4DyTe8 after structural relaxation, as listed in the Alexandria database.

M_tot ... 0.0 μB/cell

Lattice parameters (Å, degrees): 9.0146 9.0146 21.9512 90.00 90.00 120.00
Space group R-3m (No. 166, hexagonal axes)
Symmetry-distinct sites (fractional):
La 0.0000 0.5000 0.0000
Pm 0.0000 0.0000 0.5000
Pm 0.0000 0.5000 0.5000
Dy 0.0000 0.0000 0.0000
Te 0.0000 0.0000 0.2475
Te 0.0079 0.5040 0.7504

***

# 7
First-principles (PBE-GGA) data for Li4Y3HoTe8 after structural relaxation, as listed in the Alexandria database.

M_tot ... 0.0 μB/cell

Lattice parameters (Å, degrees): 8.6814 8.6814 21.1857 90.00 90.00 120.00
Space group R-3m (No. 166, hexagonal axes)
Symmetry-distinct sites (fractional):
Li 0.0000 0.0000 0.0000
Li 0.0000 0.5000 0.0000
Y 0.0000 0.5000 0.5000
Ho 0.0000 0.0000 0.5000
Te 0.0000 0.0000 0.2520
Te 0.0012 0.5006 0.2517

***

# 8
First-principles (PBE-GGA) data for TaAl2Rh after structural relaxation, as listed in the Alexandria database.

Energy of formation from the pure elements ... -0.6630 eV/atom
M_tot ... 0.0 μB/cell

Lattice parameters (Å, degrees): 2.944 2.944 6.985 90.00 90.00 90.00
Space group P4/mmm (No. 123)
Symmetry-distinct sites (fractional):
Ta 0.000 0.000 0.000
Al 0.500 0.500 0.283
Rh 0.000 0.000 0.500

***

# 9
First-principles (PBE-GGA) data for Ba3Pa2Se9 after structural relaxation, as listed in the Alexandria database.

M_tot ... 0.0 μB/cell

Lattice parameters (Å, degrees): 12.8207 12.8207 18.0728 90.00 90.00 120.00
Space group R-3c (No. 167, hexagonal axes)
Symmetry-distinct sites (fractional):
Ba 0.0000 0.3287 0.2500
Pa 0.0000 0.0000 0.1464
Se 0.0000 0.1664 0.7500
Se 0.0076 0.1902 0.4235

***

# 10
First-principles (PBE-GGA) data for Na3In4Pb4 after structural relaxation, as listed in the Alexandria database.

Energy of formation from the pure elements ... -0.0884 eV/atom
ΔE to the lowest computed polymorph ... 0.00 eV per formula unit
M_tot ... 0.0 μB/cell

Lattice parameters (Å, degrees): 3.452 4.941 18.874 96.98 94.65 90.16
Space group P-1 (No. 2)
Symmetry-distinct sites (fractional):
Na 0.000 0.000 0.000
Na 0.366 0.366 0.729
In 0.088 0.087 0.178
In 0.274 0.276 0.547
Pb 0.182 0.180 0.364
Pb 0.454 0.456 0.909

***

# 11
First-principles (PBE-GGA) data for La3Pm3Sm after structural relaxation, as listed in the Alexandria database.

Energy of formation from the pure elements ... 0.2180 eV/atom
ΔE to the lowest computed polymorph ... 1.27 eV per formula unit
M_tot ... 0.0 μB/cell

Lattice parameters (Å, degrees): 8.9987 8.9987 21.5860 90.00 90.00 120.00
Space group R-3 (No. 148, hexagonal axes)
Symmetry-distinct sites (fractional):
La 0.0046 0.2490 0.0560
Pm 0.0556 0.2729 0.2147
Sm 0.0000 0.0000 0.3584

***

# 12
First-principles (PBE-GGA) data for V3CrPd12 after structural relaxation, as listed in the Alexandria database.

Energy of formation from the pure elements ... -0.2045 eV/atom
M_tot ... 6.1 μB/cell

Lattice parameters (Å, degrees): 3.903 3.903 15.599 90.00 90.00 90.00
Space group P4/mmm (No. 123)
Symmetry-distinct sites (fractional):
V 0.000 0.000 0.000
V 0.000 0.000 0.254
Cr 0.000 0.000 0.500
Pd 0.000 0.500 0.124
Pd 0.000 0.500 0.371
Pd 0.500 0.500 0.000
Pd 0.500 0.500 0.248
Pd 0.500 0.500 0.500

***

# 13
First-principles (PBE-GGA) data for Nd2Sm5Y after structural relaxation, as listed in the Alexandria database.

Energy of formation from the pure elements ... 0.0132 eV/atom
ΔE to the lowest computed polymorph ... 0.00 eV per formula unit
M_tot ... 0.0 μB/cell

Lattice parameters (Å, degrees): 6.303 9.611 9.620 81.77 71.04 83.59
Space group P-1 (No. 2)
Symmetry-distinct sites (fractional):
Nd 0.249 0.282 0.407
Nd 0.250 0.031 0.156
Sm 0.250 0.531 0.657
Sm 0.250 0.781 0.906
Sm 0.251 0.406 0.031
Sm 0.251 0.656 0.281
Sm 0.251 0.906 0.531
Y 0.250 0.156 0.781

***

# 14
First-principles (PBE-GGA) data for Ti4In after structural relaxation, as listed in the Alexandria database.

Energy of formation from the pure elements ... 0.0854 eV/atom
ΔE to the lowest computed polymorph ... 0.74 eV per formula unit
M_tot ... 0.0 μB/cell

Lattice parameters (Å, degrees): 6.228 6.228 4.681 90.00 90.00 90.00
Space group I4/mmm (No. 139)
Symmetry-distinct sites (fractional):
Ti 0.000 0.304 0.000
In 0.000 0.000 0.500

***

# 15
First-principles (PBE-GGA) data for ReAg2Cl after structural relaxation, as listed in the Alexandria database.

ΔE to the lowest computed polymorph ... 0.71 eV per formula unit
M_tot ... 0.0 μB/cell

Lattice parameters (Å, degrees): 2.852 2.852 8.544 90.00 90.00 90.00
Space group P4/mmm (No. 123)
Symmetry-distinct sites (fractional):
Re 0.000 0.000 0.000
Ag 0.500 0.500 0.245
Cl 0.000 0.000 0.500

***

Number 1: raw total energy -16.7 eV/cell. Number 2: raw total energy -65.2 eV/cell. Number 3: raw total energy -59.1 eV/cell. Number 4: raw total energy -72.7 eV/cell. Number 5: raw total energy -1397.4 eV/cell. Number 6: raw total energy -260.5 eV/cell. Number 7: raw total energy -232.8 eV/cell. Number 8: raw total energy -29.3 eV/cell. Number 9: raw total energy -458.7 eV/cell. Number 10: raw total energy -30.7 eV/cell. Number 11: raw total energy -193.4 eV/cell. Number 12: raw total energy -102.6 eV/cell. Number 13: raw total energy -79.0 eV/cell. Number 14: raw total energy -67.8 eV/cell. Number 15: raw total energy -17.7 eV/cell.